K2Ag2Au15 | PBE | optimized geometry

Properties
**Formation enthalpy at 0 K**: -0.12 eV per atom
**Space group**: R-3m, No. 166

abc: 7.361 7.361 7.361
angles: 83.85 83.85 83.85
Atoms (fractional coordinates):
K 0.154 0.154 0.154
K 0.846 0.846 0.846
Ag 0.401 0.401 0.401
Ag 0.599 0.599 0.599
Au 0.000 0.500 0.500
Au 0.156 0.156 0.654
Au 0.156 0.654 0.156
Au 0.194 0.500 0.806
Au 0.194 0.806 0.500
Au 0.346 0.844 0.844
Au 0.500 0.000 0.500
Au 0.500 0.194 0.806
Au 0.500 0.500 0.000
Au 0.500 0.806 0.194
Au 0.654 0.156 0.156
Au 0.806 0.194 0.500
Au 0.806 0.500 0.194
Au 0.844 0.346 0.844
Au 0.844 0.844 0.346

AlSi2Pt2 | PBE | optimized geometry

Properties
**Raw formation energy**: -0.244 eV per atom
**Space group**: P4/mbm, No. 127

abc: 6.834 6.834 3.401
angles: 90.00 90.00 90.00
Atoms (fractional coordinates):
Al 0.000 0.000 0.000
Al 0.500 0.500 0.000
Si 0.161 0.339 0.500
Si 0.339 0.839 0.500
Si 0.661 0.161 0.500
Si 0.839 0.661 0.500
Pt 0.148 0.648 0.000
Pt 0.352 0.148 0.000
Pt 0.648 0.852 0.000
Pt 0.852 0.352 0.000

NdSc2N | PBE | optimized geometry

Properties
**Raw formation energy**: -0.244 eV per atom
**ΔE to the lowest computed polymorph**: 563.9 meV/atom
**Space group**: P4/mmm, No. 123

abc: 3.000 3.000 8.542
angles: 90.00 90.00 90.00
Atoms (fractional coordinates):
Nd 0.000 0.000 0.000
Sc 0.500 0.500 0.351
Sc 0.500 0.500 0.649
N 0.000 0.000 0.500

Number 1: calculated volume 20.7 A^3/atom. Number 2: calculated volume 15.9 A^3/atom. Number 3: calculated volume 19.2 A^3/atom.